GaHg2Sb2 | Alexandria via LeMat-Bulk | PBE | optimized geometry; total magnetic moment = 0.000 μB per atom; E above lowest polymorph = 0.027 eV per atom; crystal system = tetragonal; ΔE_f (raw) = 0.222 eV/atom
1.0
-5.838 3.941 -4.726
1.978 -4.967 -6.585
-2.555 -2.470 1.096
Ga Sb Hg
2 4 4
Direct
0.500 0.500 0.000
0.000 0.000 0.000
0.845 0.655 0.000
0.655 0.155 0.000
0.345 0.845 0.000
0.155 0.345 0.000
0.853 0.353 0.500
0.353 0.147 0.500
0.147 0.647 0.500
0.647 0.853 0.500



GaHg3Sb | Alexandria via LeMat-Bulk | PBE | optimized geometry; total magnetic moment = 0.000 μB per atom; E above lowest polymorph = 0.042 eV per atom; crystal system = cubic; ΔE_f (raw) = 0.391 eV/atom
1.0
5.675 0.000 0.000
0.000 5.675 0.000
0.000 0.000 5.675
Hg Sb Ga
3 1 1
Direct
0.000 0.000 0.500
0.000 0.500 0.000
0.500 0.000 0.000
0.000 0.000 0.000
0.500 0.500 0.500



Ga12Hg3Sb5 | Alexandria via LeMat-Bulk | PBE | optimized geometry; total magnetic moment = 0.000 μB per atom; crystal system = cubic; ΔE_f (raw) = 0.115 eV/atom
1.0
14.030 0.000 0.000
-4.677 13.228 0.000
-4.677 -6.614 11.456
Ga Sb Hg
48 20 12
Direct
0.931 0.570 0.169
0.099 0.169 0.238
0.430 0.069 0.331
0.931 0.361 0.262
0.901 0.070 0.639
0.639 0.570 0.901
0.331 0.569 0.430
0.070 0.901 0.139
0.099 0.930 0.361
0.361 0.931 0.762
0.930 0.831 0.569
0.401 0.262 0.331
0.861 0.599 0.930
0.169 0.099 0.738
0.599 0.861 0.430
0.431 0.669 0.070
0.669 0.431 0.570
0.738 0.599 0.169
0.331 0.762 0.401
0.238 0.569 0.639
0.070 0.169 0.431
0.139 0.738 0.569
0.901 0.831 0.762
0.831 0.901 0.262
0.262 0.861 0.931
0.430 0.361 0.599
0.069 0.430 0.831
0.361 0.430 0.099
0.762 0.331 0.901
0.569 0.238 0.139
0.238 0.669 0.099
0.861 0.262 0.431
0.401 0.139 0.570
0.669 0.238 0.599
0.169 0.070 0.931
0.569 0.331 0.930
0.139 0.401 0.070
0.570 0.931 0.669
0.262 0.401 0.831
0.431 0.762 0.861
0.831 0.930 0.069
0.930 0.099 0.861
0.069 0.639 0.738
0.570 0.639 0.401
0.762 0.431 0.361
0.599 0.738 0.669
0.738 0.139 0.069
0.639 0.069 0.238
0.750 0.625 0.375
0.875 0.250 0.625
0.000 0.000 0.000
0.500 0.000 0.000
0.625 0.750 0.875
0.500 0.500 0.500
0.500 0.500 0.000
0.875 0.625 0.750
0.000 0.500 0.500
0.250 0.875 0.125
0.000 0.000 0.500
0.125 0.750 0.375
0.375 0.125 0.750
0.625 0.875 0.250
0.125 0.375 0.250
0.250 0.375 0.625
0.375 0.250 0.125
0.000 0.500 0.000
0.750 0.125 0.875
0.500 0.000 0.500
0.125 0.875 0.750
0.625 0.375 0.750
0.125 0.250 0.875
0.875 0.125 0.250
0.375 0.625 0.250
0.250 0.625 0.875
0.375 0.750 0.625
0.875 0.750 0.125
0.250 0.125 0.375
0.625 0.250 0.375
0.750 0.875 0.625
0.750 0.375 0.125



Ga2HgSb2 | Alexandria via LeMat-Bulk | PBE | optimized geometry; total magnetic moment = 0.000 μB per atom; E above lowest polymorph = 0.064 eV per atom; crystal system = tetragonal; ΔE_f (raw) = 0.102 eV/atom
1.0
-0.379 -2.745 8.217
2.120 -8.004 -2.576
3.215 0.726 0.391
Ga Sb Hg
4 4 2
Direct
0.644 0.144 0.000
0.144 0.356 0.000
0.356 0.856 0.000
0.856 0.644 0.000
0.347 0.153 0.500
0.653 0.847 0.500
0.153 0.653 0.500
0.847 0.347 0.500
0.500 0.500 0.000
0.000 0.000 0.000